Record 1
Ac12PrSm7: relaxed, PBE.

Properties
Energy of formation, meV per atom: 206
Symmetry: R-3m, No. 166

Cell: 12.239 12.239 12.239 Å, 116.78 116.78 116.78°
Sites, in units of the cell vectors:
Ac 0.000 0.413 0.587
Ac 0.000 0.587 0.413
Ac 0.066 0.066 0.412
Ac 0.066 0.412 0.066
Ac 0.412 0.066 0.066
Ac 0.413 0.000 0.587
Ac 0.413 0.587 0.000
Ac 0.587 0.000 0.413
Ac 0.587 0.413 0.000
Ac 0.588 0.934 0.934
Ac 0.934 0.588 0.934
Ac 0.934 0.934 0.588
Pr 0.500 0.500 0.500
Sm 0.000 0.000 0.000
Sm 0.149 0.392 0.392
Sm 0.392 0.149 0.392
Sm 0.392 0.392 0.149
Sm 0.608 0.608 0.851
Sm 0.608 0.851 0.608
Sm 0.851 0.608 0.608

Record 2
Ac3Pr2Sm5: relaxed, PBE.

Properties
Energy of formation, meV per atom: 164
Symmetry: C2/c, No. 15

Cell: 10.221 10.221 9.738 Å, 109.75 109.75 110.80°
Sites, in units of the cell vectors:
Ac 0.024 0.976 0.750
Ac 0.113 0.385 0.743
Ac 0.385 0.113 0.243
Ac 0.615 0.887 0.757
Ac 0.887 0.615 0.257
Ac 0.976 0.024 0.250
Pr 0.023 0.289 0.052
Pr 0.289 0.023 0.552
Pr 0.711 0.977 0.448
Pr 0.977 0.711 0.948
Sm 0.223 0.777 0.750
Sm 0.230 0.483 0.452
Sm 0.281 0.719 0.250
Sm 0.475 0.525 0.250
Sm 0.483 0.230 0.952
Sm 0.517 0.770 0.048
Sm 0.525 0.475 0.750
Sm 0.719 0.281 0.750
Sm 0.770 0.517 0.548
Sm 0.777 0.223 0.250

Record 3
AcPrSmSn: relaxed, PBE.

Properties
Energy of formation, meV per atom: -216
Symmetry: F-43m, No. 216

Cell: 5.673 5.673 5.673 Å, 60.00 60.00 60.00°
Sites, in units of the cell vectors:
Ac 0.000 0.000 0.000
Pr 0.750 0.750 0.750
Sm 0.250 0.250 0.250
Sn 0.500 0.500 0.500

Record 4
AcTb2Pr2Sm2: relaxed, PBE.

Properties
Energy of formation, meV per atom: 33
Symmetry: C2/m, No. 12

Cell: 6.395 6.395 8.233 Å, 97.45 97.45 48.19°
Sites, in units of the cell vectors:
Ac 0.000 0.000 0.000
Tb 0.142 0.142 0.433
Tb 0.858 0.858 0.567
Pr 0.286 0.286 0.849
Pr 0.714 0.714 0.151
Sm 0.426 0.426 0.293
Sm 0.574 0.574 0.707

Record 5
AcTb5PrSm2: relaxed, PBE.

Properties
Energy of formation, meV per atom: 268
Symmetry: I4/mcm, No. 140

Cell: 10.035 10.035 10.035 Å, 126.95 126.95 78.33°
Sites, in units of the cell vectors:
Ac 0.250 0.750 0.500
Ac 0.750 0.250 0.500
Tb 0.000 0.000 0.000
Tb 0.080 0.580 0.920
Tb 0.160 0.080 0.500
Tb 0.340 0.840 0.920
Tb 0.420 0.340 0.500
Tb 0.500 0.500 0.000
Tb 0.580 0.660 0.500
Tb 0.660 0.160 0.080
Tb 0.840 0.920 0.500
Tb 0.920 0.420 0.080
Pr 0.250 0.250 0.000
Pr 0.750 0.750 0.000
Sm 0.114 0.386 0.500
Sm 0.386 0.886 0.273
Sm 0.614 0.114 0.727
Sm 0.886 0.614 0.500

Record 6
Ac2TbPrSm: relaxed, PBE.

Properties
Energy of formation, meV per atom: 270
Symmetry: Pmma, No. 51

Cell: 6.456 9.048 6.806 Å, 90.00 90.00 90.00°
Sites, in units of the cell vectors:
Ac 0.250 0.200 0.205
Ac 0.250 0.800 0.205
Ac 0.750 0.200 0.795
Ac 0.750 0.800 0.795
Tb 0.250 0.000 0.672
Tb 0.750 0.000 0.328
Pr 0.250 0.500 0.920
Pr 0.750 0.500 0.080
Sm 0.000 0.500 0.500
Sm 0.500 0.500 0.500

Record 7
Ac2TbPr2Sm: relaxed, PBE.

Properties
Energy of formation, meV per atom: 74
Symmetry: Pmma, No. 51

Cell: 7.388 5.964 10.254 Å, 90.00 90.00 90.00°
Sites, in units of the cell vectors:
Ac 0.000 0.000 0.000
Ac 0.250 0.500 0.174
Ac 0.500 0.000 0.000
Ac 0.750 0.500 0.826
Tb 0.000 0.500 0.500
Tb 0.500 0.500 0.500
Pr 0.250 0.000 0.347
Pr 0.250 0.500 0.824
Pr 0.750 0.000 0.653
Pr 0.750 0.500 0.176
Sm 0.250 0.000 0.664
Sm 0.750 0.000 0.336

Record 8
AcTb2Pr6Sm: relaxed, PBE.

Properties
Energy of formation, meV per atom: 115
Symmetry: C2/c, No. 15

Cell: 9.128 9.128 9.927 Å, 93.45 93.45 117.58°
Sites, in units of the cell vectors:
Ac 0.027 0.973 0.750
Ac 0.973 0.027 0.250
Tb 0.200 0.307 0.547
Tb 0.307 0.200 0.047
Tb 0.693 0.800 0.953
Tb 0.800 0.693 0.453
Pr 0.013 0.557 0.683
Pr 0.118 0.751 0.054
Pr 0.249 0.882 0.446
Pr 0.294 0.508 0.881
Pr 0.443 0.987 0.817
Pr 0.492 0.706 0.619
Pr 0.508 0.294 0.381
Pr 0.557 0.013 0.183
Pr 0.706 0.492 0.119
Pr 0.751 0.118 0.554
Pr 0.882 0.249 0.946
Pr 0.987 0.443 0.317
Sm 0.410 0.590 0.250
Sm 0.590 0.410 0.750

Record 9
Ac2Tb3PrSm6: relaxed, PBE.

Properties
Energy of formation, meV per atom: 38
Symmetry: C2/m, No. 12

Cell: 6.394 6.394 12.159 Å, 95.05 95.05 120.02°
Sites, in units of the cell vectors:
Ac 0.167 0.833 0.000
Ac 0.833 0.167 0.000
Tb 0.000 0.000 0.500
Tb 0.334 0.666 0.500
Tb 0.666 0.334 0.500
Pr 0.500 0.500 0.000
Sm 0.082 0.414 0.742
Sm 0.255 0.255 0.258
Sm 0.414 0.082 0.742
Sm 0.586 0.918 0.258
Sm 0.745 0.745 0.742
Sm 0.918 0.586 0.258

Record 10
Ac5TbPr2Sm: relaxed, PBE.

Properties
Energy of formation, meV per atom: 281
Symmetry: I4/mcm, No. 140

Cell: 11.903 11.903 11.903 Å, 138.04 138.04 60.84°
Sites, in units of the cell vectors:
Ac 0.000 0.000 0.000
Ac 0.086 0.586 0.949
Ac 0.137 0.086 0.500
Ac 0.363 0.863 0.949
Ac 0.414 0.363 0.500
Ac 0.500 0.500 0.000
Ac 0.586 0.637 0.500
Ac 0.637 0.137 0.051
Ac 0.863 0.914 0.500
Ac 0.914 0.414 0.051
Tb 0.250 0.750 0.500
Tb 0.750 0.250 0.500
Pr 0.122 0.378 0.500
Pr 0.378 0.878 0.256
Pr 0.622 0.122 0.744
Pr 0.878 0.622 0.500
Sm 0.250 0.250 0.000
Sm 0.750 0.750 0.000

Record 11
AcTb6Pr2Sm3: relaxed, PBE.

Properties
Energy of formation, meV per atom: 23
Symmetry: C2/m, No. 12

Cell: 6.321 6.321 11.973 Å, 95.04 95.04 120.00°
Sites, in units of the cell vectors:
Ac 0.000 0.000 0.000
Tb 0.086 0.421 0.254
Tb 0.250 0.250 0.745
Tb 0.421 0.086 0.254
Tb 0.579 0.914 0.746
Tb 0.750 0.750 0.255
Tb 0.914 0.579 0.746
Pr 0.333 0.667 0.000
Pr 0.667 0.333 0.000
Sm 0.167 0.833 0.500
Sm 0.500 0.500 0.500
Sm 0.833 0.167 0.500

Record 12
Ac2Tb2Pr4Sm: relaxed, PBE.

Properties
Energy of formation, meV per atom: 25
Symmetry: C2/m, No. 12

Cell: 9.064 9.064 10.203 Å, 98.99 98.99 23.69°
Sites, in units of the cell vectors:
Ac 0.163 0.163 0.084
Ac 0.837 0.837 0.916
Tb 0.334 0.334 0.579
Tb 0.666 0.666 0.421
Pr 0.170 0.170 0.723
Pr 0.489 0.489 0.179
Pr 0.511 0.511 0.821
Pr 0.830 0.830 0.277
Sm 0.000 0.000 0.500

Record 13
AcTbPr2Sm: relaxed, PBE.

Properties
Energy of formation, meV per atom: 276
Symmetry: P2/m, No. 10

Cell: 3.751 5.914 8.735 Å, 90.00 90.18 90.00°
Sites, in units of the cell vectors:
Ac 0.000 0.000 0.000
Tb 0.500 0.000 0.500
Pr 0.002 0.500 0.323
Pr 0.998 0.500 0.677
Sm 0.500 0.500 0.000

Record 14
Ac2TbPr5Sm: relaxed, PBE.

Properties
Energy of formation, meV per atom: 126
Symmetry: Cmc2_1, No. 36

Cell: 10.884 10.884 11.061 Å, 90.00 90.00 148.63°
Sites, in units of the cell vectors:
Ac 0.113 0.887 0.500
Ac 0.118 0.882 0.085
Ac 0.882 0.118 0.585
Ac 0.887 0.113 0.000
Tb 0.408 0.592 0.233
Tb 0.592 0.408 0.733
Pr 0.019 0.981 0.789
Pr 0.282 0.718 0.076
Pr 0.295 0.705 0.466
Pr 0.391 0.609 0.789
Pr 0.482 0.518 0.510
Pr 0.518 0.482 0.010
Pr 0.609 0.391 0.289
Pr 0.705 0.295 0.966
Pr 0.718 0.282 0.576
Pr 0.981 0.019 0.289
Sm 0.206 0.794 0.774
Sm 0.794 0.206 0.274

Record 15
AcTb4Pr2Sm: relaxed, PBE.

Properties
Energy of formation, meV per atom: 407
Symmetry: C2/c, No. 15

Cell: 9.706 9.706 6.972 Å, 111.05 111.05 88.36°
Sites, in units of the cell vectors:
Ac 0.000 0.500 0.000
Ac 0.500 0.000 0.500
Tb 0.239 0.255 0.495
Tb 0.247 0.753 0.513
Tb 0.247 0.753 0.987
Tb 0.255 0.239 0.995
Tb 0.745 0.761 0.005
Tb 0.753 0.247 0.013
Tb 0.753 0.247 0.487
Tb 0.761 0.745 0.505
Pr 0.000 0.500 0.500
Pr 0.500 0.000 0.000
Pr 0.500 0.500 0.000
Pr 0.500 0.500 0.500
Sm 0.000 0.000 0.000
Sm 0.000 0.000 0.500

Record 16
Ac2TbPr4Sm2: relaxed, PBE.

Properties
Energy of formation, meV per atom: 33
Symmetry: C2/m, No. 12

Cell: 9.890 9.890 9.134 Å, 90.50 90.50 21.94°
Sites, in units of the cell vectors:
Ac 0.163 0.163 0.497
Ac 0.837 0.837 0.503
Tb 0.500 0.500 0.500
Pr 0.053 0.053 0.834
Pr 0.278 0.278 0.164
Pr 0.722 0.722 0.836
Pr 0.947 0.947 0.166
Sm 0.390 0.390 0.842
Sm 0.610 0.610 0.158

Record 17
Ac2TbPrSm4: relaxed, PBE.

Properties
Energy of formation, meV per atom: 394
Symmetry: C2/c, No. 15

Cell: 9.858 9.858 7.159 Å, 111.28 111.28 88.50°
Sites, in units of the cell vectors:
Ac 0.000 0.000 0.000
Ac 0.000 0.000 0.500
Ac 0.000 0.500 0.000
Ac 0.500 0.000 0.500
Tb 0.500 0.500 0.000
Tb 0.500 0.500 0.500
Pr 0.000 0.500 0.500
Pr 0.500 0.000 0.000
Sm 0.258 0.275 0.518
Sm 0.263 0.737 0.515
Sm 0.263 0.737 0.985
Sm 0.275 0.258 0.018
Sm 0.725 0.742 0.982
Sm 0.737 0.263 0.015
Sm 0.737 0.263 0.485
Sm 0.742 0.725 0.482

Record 18
AcTb4PrSm2: relaxed, PBE.

Properties
Energy of formation, meV per atom: 416
Symmetry: C2/c, No. 15

Cell: 9.683 9.683 6.970 Å, 111.09 111.09 88.39°
Sites, in units of the cell vectors:
Ac 0.000 0.500 0.000
Ac 0.500 0.000 0.500
Tb 0.239 0.255 0.495
Tb 0.247 0.753 0.514
Tb 0.247 0.753 0.986
Tb 0.255 0.239 0.995
Tb 0.745 0.761 0.005
Tb 0.753 0.247 0.014
Tb 0.753 0.247 0.486
Tb 0.761 0.745 0.505
Pr 0.500 0.500 0.000
Pr 0.500 0.500 0.500
Sm 0.000 0.000 0.000
Sm 0.000 0.000 0.500
Sm 0.000 0.500 0.500
Sm 0.500 0.000 0.000

Record 19
AcTbPr2Sm5: relaxed, PBE.

Properties
Energy of formation, meV per atom: 249
Symmetry: I4/mcm, No. 140

Cell: 10.192 10.192 10.192 Å, 127.81 127.81 76.94°
Sites, in units of the cell vectors:
Ac 0.250 0.250 0.000
Ac 0.750 0.750 0.000
Tb 0.250 0.750 0.500
Tb 0.750 0.250 0.500
Pr 0.118 0.618 0.736
Pr 0.382 0.118 0.500
Pr 0.618 0.882 0.500
Pr 0.882 0.382 0.264
Sm 0.000 0.000 0.000
Sm 0.072 0.160 0.500
Sm 0.160 0.660 0.088
Sm 0.340 0.428 0.500
Sm 0.428 0.928 0.088
Sm 0.500 0.500 0.000
Sm 0.572 0.072 0.912
Sm 0.660 0.572 0.500
Sm 0.840 0.340 0.912
Sm 0.928 0.840 0.500

no.,DFT total energy (eV/atom)
1,-4.15
2,-4.38
3,-4.62
4,-4.59
5,-4.34
6,-4.20
7,-4.45
8,-4.56
9,-4.56
10,-4.10
11,-4.61
12,-4.57
13,-4.33
14,-4.48
15,-4.21
16,-4.57
17,-4.17
18,-4.19
19,-4.41